Record 1
NbVCuAs2 | PBE | relaxed

As for the symmetry: P4/mmm. Its final energy is -28.529 eV per cell.

Cell and atoms, written as POSCAR:
```
NbVCuAs2
1.0
4.915 0.000 0.000
0.000 4.915 0.000
0.000 0.000 4.796
Nb V Cu As
1 1 1 2
direct
0.000 0.000 0.000 Nb
0.500 0.500 0.500 V
0.000 0.000 0.500 Cu
0.000 0.500 0.000 As
0.500 0.000 0.000 As
```

=====

Record 2
Nb2CuAsW | PBE | relaxed

As for the symmetry: P4/mmm. Its final energy is -35.385 eV per cell.

Cell and atoms, written as POSCAR:
```
Nb2CuAsW
1.0
4.666 0.000 0.000
0.000 4.666 0.000
0.000 0.000 4.523
Nb Cu As W
2 1 1 1
direct
0.000 0.500 0.000 Nb
0.500 0.000 0.000 Nb
0.000 0.000 0.000 Cu
0.500 0.500 0.500 As
0.000 0.000 0.500 W
```

=====

Record 3
Nd2CuAs | PBE | relaxed

As for the symmetry: R-3m. The offset from the most stable computed form comes out at 0.00 eV/f.u.

Cell and atoms, written as POSCAR:
```
Nd2CuAs
1.0
2.115 1.221 7.014
-2.115 1.221 7.014
0.000 -2.442 7.014
Nd Cu As
2 1 1
direct
0.247 0.247 0.247 Nd
0.753 0.753 0.753 Nd
0.000 0.000 0.000 Cu
0.500 0.500 0.500 As
```

=====

Record 4
NdCuAs | PBE | relaxed

As for the symmetry: Cm. Its final energy is -31.616 eV per cell.

Cell and atoms, written as POSCAR:
```
NdCuAs
1.0
7.825 -2.051 0.000
7.825 2.051 0.000
-1.072 0.000 3.959
Nd Cu As
2 2 2
direct
0.000 0.000 0.000 Nd
0.250 0.250 0.750 Nd
0.670 0.670 0.172 Cu
0.830 0.830 0.332 Cu
0.409 0.409 0.406 As
0.591 0.591 0.594 As
```